A relaxed Er3Ge4Os2 crystal, computed with PBE.

Computed properties:
Symmetry = C2/m (12)
Uncorrected energy = -6.692 eV per atom

Cell lengths 5.748, 5.748, 8.106 Å; angles 108.41, 108.41, 44.56 degrees
Fractional positions:
Er: 0.000 0.000 0.000
Er: 0.377 0.377 0.302
Er: 0.623 0.623 0.698
Ge: 0.090 0.090 0.404
Ge: 0.287 0.287 0.922
Ge: 0.713 0.713 0.078
Ge: 0.910 0.910 0.596
Os: 0.321 0.321 0.640
Os: 0.679 0.679 0.360


A relaxed ErGe12Os4 crystal, computed with PBE.

Computed properties:
Symmetry = Im-3 (204)
Uncorrected energy = -6.040 eV per atom

Cell lengths 7.573, 7.573, 7.573 Å; angles 109.47, 109.47, 109.47 degrees
Fractional positions:
Er: 0.000 0.000 0.000
Ge: 0.153 0.336 0.489
Ge: 0.153 0.664 0.817
Ge: 0.183 0.847 0.336
Ge: 0.336 0.183 0.847
Ge: 0.336 0.489 0.153
Ge: 0.489 0.153 0.336
Ge: 0.511 0.847 0.664
Ge: 0.664 0.511 0.847
Ge: 0.664 0.817 0.153
Ge: 0.817 0.153 0.664
Ge: 0.847 0.336 0.183
Ge: 0.847 0.664 0.511
Os: 0.000 0.000 0.500
Os: 0.000 0.500 0.000
Os: 0.500 0.000 0.000
Os: 0.500 0.500 0.500


A relaxed ErGe3Os3 crystal, computed with PBE.

Computed properties:
Symmetry = Pm-3n (223)
Uncorrected energy = -6.916 eV per atom

Cell lengths 6.721, 6.721, 6.721 Å; angles 90.00, 90.00, 90.00 degrees
Fractional positions:
Er: 0.000 0.000 0.000
Er: 0.500 0.500 0.500
Ge: 0.000 0.250 0.500
Ge: 0.000 0.750 0.500
Ge: 0.250 0.500 0.000
Ge: 0.500 0.000 0.250
Ge: 0.500 0.000 0.750
Ge: 0.750 0.500 0.000
Os: 0.000 0.500 0.250
Os: 0.000 0.500 0.750
Os: 0.250 0.000 0.500
Os: 0.500 0.250 0.000
Os: 0.500 0.750 0.000
Os: 0.750 0.000 0.500


A relaxed Er4Ge8Os crystal, computed with PBE.

Computed properties:
Symmetry = Pmm2 (25)
Uncorrected energy = -5.632 eV per atom

Cell lengths 4.018, 4.143, 15.968 Å; angles 90.00, 90.00, 90.00 degrees
Fractional positions:
Er: 0.000 0.000 0.000
Er: 0.000 0.500 0.485
Er: 0.500 0.000 0.790
Er: 0.500 0.500 0.285
Ge: 0.000 0.000 0.329
Ge: 0.000 0.000 0.620
Ge: 0.000 0.500 0.140
Ge: 0.000 0.500 0.857
Ge: 0.500 0.000 0.145
Ge: 0.500 0.000 0.438
Ge: 0.500 0.500 0.618
Ge: 0.500 0.500 0.963
Os: 0.000 0.500 0.706


A relaxed ErGe3Os crystal, computed with PBE.

Computed properties:
Symmetry = Pmn2_1 (31)
Uncorrected energy = -6.232 eV per atom

Cell lengths 6.195, 5.647, 5.694 Å; angles 90.00, 90.00, 90.00 degrees
Fractional positions:
Er: 0.000 0.138 0.000
Er: 0.500 0.862 0.500
Ge: 0.000 0.914 0.551
Ge: 0.234 0.324 0.452
Ge: 0.266 0.676 0.952
Ge: 0.500 0.086 0.051
Ge: 0.734 0.676 0.952
Ge: 0.766 0.324 0.452
Os: 0.000 0.616 0.258
Os: 0.500 0.384 0.758


A relaxed ErGe3Os2 crystal, computed with PBE.

Computed properties:
Symmetry = Cmcm (63)
Uncorrected energy = -7.107 eV per atom

Cell lengths 6.257, 6.257, 8.462 Å; angles 90.00, 90.00, 140.17 degrees
Fractional positions:
Er: 0.181 0.819 0.750
Er: 0.819 0.181 0.250
Ge: 0.136 0.864 0.250
Ge: 0.376 0.624 0.025
Ge: 0.376 0.624 0.475
Ge: 0.624 0.376 0.525
Ge: 0.624 0.376 0.975
Ge: 0.864 0.136 0.750
Os: 0.000 0.000 0.000
Os: 0.000 0.000 0.500
Os: 0.468 0.532 0.750
Os: 0.532 0.468 0.250


Number 1: energy of formation from the pure elements -0.623 eV per atom, total magnetic moment 0.00 μB/cell. Number 2: energy of formation from the pure elements 0.130 eV per atom, total magnetic moment 0.00 μB/cell. Number 3: energy of formation from the pure elements 0.527 eV per atom, total magnetic moment 0.00 μB/cell. Number 4: energy of formation from the pure elements -0.523 eV per atom, total magnetic moment 0.00 μB/cell. Number 5: energy of formation from the pure elements -0.303 eV per atom, total magnetic moment 0.00 μB/cell. Number 6: energy of formation from the pure elements -0.295 eV per atom, total magnetic moment 0.00 μB/cell.